Density functional theory data (PBE) for a relaxed CeTl2Sb2S6 crystal.

Summary:
ΔE_f (raw) = -0.7246 eV per atom
mass density = 5119 kg/m³
crystal system = monoclinic
calculated volume = 29.04 A^3/atom

a b c (Å): 7.0297 7.0297 7.8668
angles (deg): 98.75 98.75 120.34
Fractional positions:
S (0.7402, 0.7402, 0.6980)
S (0.0620, 0.3977, 0.6947)
S (0.2598, 0.2598, 0.3020)
S (0.3977, 0.0620, 0.6947)
S (0.6023, 0.9380, 0.3053)
S (0.9380, 0.6023, 0.3053)
Tl (0.8336, 0.1664, 0.0000)
Tl (0.1664, 0.8336, 0.0000)
Ce (0.0000, 0.0000, 0.5000)
Sb (0.6686, 0.3314, 0.5000)
Sb (0.3314, 0.6686, 0.5000)

---

Density functional theory data (PBE) for a relaxed ZrNi9Sb2 crystal.

Summary:
ΔE_f (raw) = -0.2377 eV per atom
mass density = 9125 kg/m³
crystal system = tetragonal
calculated volume = 13.09 A^3/atom

a b c (Å): 3.7515 3.7515 11.1583
angles (deg): 90.00 90.00 90.00
Fractional positions:
Ni (0.0000, 0.5000, 0.8319)
Ni (0.5000, 0.5000, 0.3361)
Ni (0.0000, 0.5000, 0.5000)
Ni (0.0000, 0.5000, 0.1681)
Ni (0.5000, 0.0000, 0.5000)
Ni (0.5000, 0.0000, 0.1681)
Ni (0.5000, 0.0000, 0.8319)
Ni (0.5000, 0.5000, 0.0000)
Ni (0.5000, 0.5000, 0.6639)
Sb (0.0000, 0.0000, 0.6662)
Sb (0.0000, 0.0000, 0.3338)
Zr (0.0000, 0.0000, 0.0000)

---

Density functional theory data (PBE) for a relaxed TbCuPO crystal.

Summary:
ΔE_f (raw) = -1.7556 eV per atom
mass density = 7191 kg/m³
crystal system = tetragonal
calculated volume = 15.56 A^3/atom

a b c (Å): 3.8885 3.8885 8.2300
angles (deg): 90.00 90.00 90.00
Fractional positions:
P (0.5000, 0.0000, 0.1598)
P (0.0000, 0.5000, 0.8402)
O (0.5000, 0.5000, 0.5000)
O (0.0000, 0.0000, 0.5000)
Tb (0.0000, 0.5000, 0.3616)
Tb (0.5000, 0.0000, 0.6384)
Cu (0.5000, 0.5000, 0.0000)
Cu (0.0000, 0.0000, 0.0000)

---

Density functional theory data (PBE) for a relaxed YBr crystal.

Summary:
ΔE_f (raw) = -0.2381 eV per atom
mass density = 4598 kg/m³
crystal system = cubic
calculated volume = 30.48 A^3/atom

a b c (Å): 5.5658 5.5658 5.5658
angles (deg): 60.00 60.00 60.00
Site moments in Bohr magnetons follow the coordinates.
Fractional positions:
Br (0.2500, 0.2500, 0.2500)  0.05
Br (0.0000, 0.0000, 0.0000)  0.05
Y (0.7500, 0.7500, 0.7500)  1.01
Y (0.5000, 0.5000, 0.5000)  1.01

---

Density functional theory data (PBE) for a relaxed AcAl2Ga2 crystal.

Summary:
calculated total energy = -3.98 eV per atom
mass density = 6422 kg/m³
crystal system = tetragonal
calculated volume = 21.74 A^3/atom

a b c (Å): 4.3766 4.3766 6.4642
angles (deg): 109.79 109.79 90.00
Fractional positions:
Ga (0.3828, 0.3828, 0.7656)
Ga (0.6172, 0.6172, 0.2344)
Al (0.7500, 0.2500, 0.5000)
Al (0.2500, 0.7500, 0.5000)
Ac (0.0000, 0.0000, 0.0000)

---

Density functional theory data (PBE) for a relaxed CrPI2N crystal.

Summary:
ΔE_f (raw) = 0.6972 eV per atom
mass density = 5667 kg/m³
crystal system = tetragonal
calculated volume = 20.56 A^3/atom

a b c (Å): 5.3644 5.3644 3.5719
angles (deg): 90.00 90.00 90.00
Fractional positions:
N (0.0000, 0.0000, 0.5000)
I (0.5000, 0.0000, 0.0000)
I (0.0000, 0.5000, 0.0000)
P (0.5000, 0.5000, 0.5000)
Cr (0.0000, 0.0000, 0.0000)

---

Density functional theory data (PBE) for a relaxed RbTbAu2I6 crystal.

Summary:
ΔE_f (raw) = -0.8198 eV per atom
mass density = 4907 kg/m³
crystal system = triclinic
calculated volume = 47.37 A^3/atom

a b c (Å): 7.9434 7.9216 9.8157
angles (deg): 90.03 113.43 120.23
Fractional positions:
Tb (0.9966, 0.9978, 0.9803)
I (0.8229, 0.7582, 0.1902)
I (0.8558, 0.6155, 0.7722)
I (0.1373, 0.3802, 0.1881)
I (0.4434, 0.0667, 0.1914)
I (0.5496, 0.9288, 0.7697)
I (0.1700, 0.2368, 0.7700)
Au (0.5313, 0.2619, 0.7838)
Au (0.4621, 0.7340, 0.1766)
Rb (0.9968, 0.4978, 0.4803)

---

Density functional theory data (PBE) for a relaxed Cu4Se3 crystal.

Summary:
ΔE_f (raw) = 0.0489 eV per atom
mass density = 6327 kg/m³
crystal system = cubic
calculated volume = 18.41 A^3/atom

a b c (Å): 5.0512 5.0512 5.0512
angles (deg): 90.00 90.00 90.00
Fractional positions:
Cu (0.0000, 0.0000, 0.0000)
Cu (0.0000, 0.5000, 0.5000)
Cu (0.5000, 0.5000, 0.0000)
Cu (0.5000, 0.0000, 0.5000)
Se (0.0000, 0.5000, 0.0000)
Se (0.5000, 0.0000, 0.0000)
Se (0.0000, 0.0000, 0.5000)

---

Density functional theory data (PBE) for a relaxed Pm12Nd2Y5 crystal.

Summary:
calculated total energy = -5.10 eV per atom
mass density = 6144 kg/m³
crystal system = monoclinic
calculated volume = 35.18 A^3/atom

a b c (Å): 10.1600 9.5831 11.4734
angles (deg): 53.07 90.00 122.01
Fractional positions:
Pm (0.4508, 0.3984, 0.1999)
Pm (0.8519, 0.2045, 0.5984)
Pm (0.3963, 0.7927, 0.9076)
Pm (0.1481, 0.7955, 0.4016)
Pm (0.9476, 0.3984, 0.1999)
Pm (0.6037, 0.2073, 0.0924)
Pm (0.9028, 0.8057, 0.8946)
Pm (0.3526, 0.2045, 0.5984)
Pm (0.5492, 0.6016, 0.8001)
Pm (0.0524, 0.6016, 0.8001)
Pm (0.0972, 0.1943, 0.1054)
Pm (0.6474, 0.7955, 0.4016)
Y (0.7024, 0.4049, 0.6998)
Y (0.0000, 0.0000, 0.5000)
Y (0.1951, 0.3901, 0.7012)
Y (0.2976, 0.5951, 0.3002)
Y (0.8049, 0.6099, 0.2988)
Nd (0.2501, 0.0000, 0.0000)
Nd (0.7499, 0.0000, 0.0000)

---

Spin magnetization: 0.00; 0.00; 0.00; 3.86; 0.00; 0.01; 0.00; 0.00; 0.00 (μB per cell)